Record 1
This record from Alexandria via LeMat-Bulk describes crystalline K3HfZr at its relaxed geometry. The functional is GGA-PBE.

Values from the calculation:
- formation energy from the elements (eV/atom) = 2.043
- energy relative to the lowest polymorph listed for this composition (meV/atom) = 0.0

Geometry as CIF:
```
data_K3HfZr
_space_group_name_H-M_alt 'P 1'
_space_group_IT_number 1
_cell_length_a 6.525
_cell_length_b 6.525
_cell_length_c 6.525
_cell_angle_alpha 90.00
_cell_angle_beta 90.00
_cell_angle_gamma 90.00
loop_
_space_group_symop_operation_xyz
'x,y,z'
loop_
_atom_site_label
_atom_site_type_symbol
_atom_site_fract_x
_atom_site_fract_y
_atom_site_fract_z
K1 K 0.000 0.000 0.500
K2 K 0.000 0.500 0.000
K3 K 0.500 0.000 0.000
Hf1 Hf 0.500 0.500 0.500
Zr1 Zr 0.000 0.000 0.000
```

***

Record 2
This record from Alexandria via LeMat-Bulk describes crystalline K2MgW at its relaxed geometry. The functional is GGA-PBE.

Values from the calculation:
- formation energy from the elements (eV/atom) = 1.347

Geometry as CIF:
```
data_K2MgW
_space_group_name_H-M_alt 'P 1'
_space_group_IT_number 1
_cell_length_a 6.926
_cell_length_b 6.926
_cell_length_c 2.809
_cell_angle_alpha 90.00
_cell_angle_beta 90.00
_cell_angle_gamma 126.49
loop_
_space_group_symop_operation_xyz
'x,y,z'
loop_
_atom_site_label
_atom_site_type_symbol
_atom_site_fract_x
_atom_site_fract_y
_atom_site_fract_z
K1 K 0.000 0.500 0.000
K2 K 0.500 0.000 0.000
Mg1 Mg 0.000 0.000 0.500
W1 W 0.500 0.500 0.500
```

***

Record 3
This record from Alexandria via LeMat-Bulk describes crystalline La2Pm2Y5 at its relaxed geometry. The functional is GGA-PBE.

Values from the calculation:
- formation energy from the elements (eV/atom) = 0.203
- energy relative to the lowest polymorph listed for this composition (meV/atom) = 65.4

Geometry as CIF:
```
data_La2Pm2Y5
_space_group_name_H-M_alt 'P 1'
_space_group_IT_number 1
_cell_length_a 10.251
_cell_length_b 10.251
_cell_length_c 10.251
_cell_angle_alpha 84.90
_cell_angle_beta 108.12
_cell_angle_gamma 141.06
loop_
_space_group_symop_operation_xyz
'x,y,z'
loop_
_atom_site_label
_atom_site_type_symbol
_atom_site_fract_x
_atom_site_fract_y
_atom_site_fract_z
La1 La 0.000 0.000 0.000
La2 La 0.000 0.500 0.500
La3 La 0.089 0.846 0.743
La4 La 0.103 0.346 0.257
Pm1 Pm 0.548 0.677 0.124
Pm2 Pm 0.548 0.924 0.370
Pm3 Pm 0.554 0.177 0.630
Pm4 Pm 0.554 0.424 0.876
Y1 Y 0.122 0.030 0.375
Y2 Y 0.122 0.246 0.592
Y3 Y 0.154 0.647 0.007
Y4 Y 0.435 0.140 0.188
Y5 Y 0.435 0.747 0.795
Y6 Y 0.640 0.147 0.993
Y7 Y 0.655 0.530 0.408
Y8 Y 0.655 0.746 0.625
Y9 Y 0.953 0.247 0.812
Y10 Y 0.953 0.640 0.205
```

***

Record 4
This record from Alexandria via LeMat-Bulk describes crystalline PmCo2B4 at its relaxed geometry. The functional is GGA-PBE.

Values from the calculation:
- formation energy from the elements (eV/atom) = -0.271

Geometry as CIF:
```
data_PmCo2B4
_space_group_name_H-M_alt 'P 1'
_space_group_IT_number 1
_cell_length_a 7.461
_cell_length_b 7.461
_cell_length_c 7.461
_cell_angle_alpha 156.02
_cell_angle_beta 154.52
_cell_angle_gamma 35.27
loop_
_space_group_symop_operation_xyz
'x,y,z'
loop_
_atom_site_label
_atom_site_type_symbol
_atom_site_fract_x
_atom_site_fract_y
_atom_site_fract_z
Pm1 Pm 0.000 0.000 0.000
Co1 Co 0.196 0.696 0.500
Co2 Co 0.804 0.304 0.500
B1 B 0.339 0.839 0.500
B2 B 0.386 0.386 0.000
B3 B 0.614 0.614 0.000
B4 B 0.661 0.161 0.500
```

***

Record 5
This record from Alexandria via LeMat-Bulk describes crystalline RuCN at its relaxed geometry. The functional is GGA-PBE.

Values from the calculation:
- energy relative to the lowest polymorph listed for this composition (meV/atom) = 91.7

Geometry as CIF:
```
data_RuCN
_space_group_name_H-M_alt 'P 1'
_space_group_IT_number 1
_cell_length_a 2.891
_cell_length_b 2.891
_cell_length_c 3.955
_cell_angle_alpha 90.00
_cell_angle_beta 90.00
_cell_angle_gamma 120.00
loop_
_space_group_symop_operation_xyz
'x,y,z'
loop_
_atom_site_label
_atom_site_type_symbol
_atom_site_fract_x
_atom_site_fract_y
_atom_site_fract_z
Ru1 Ru 0.000 0.000 0.000
C1 C 0.667 0.333 0.665
N1 N 0.667 0.333 0.338
```

***

Record 6
This record from Alexandria via LeMat-Bulk describes crystalline AcPaCuTc at its relaxed geometry. The functional is GGA-PBE.

Values from the calculation:
- formation energy from the elements (eV/atom) = 0.235

Geometry as CIF:
```
data_AcPaCuTc
_space_group_name_H-M_alt 'P 1'
_space_group_IT_number 1
_cell_length_a 5.058
_cell_length_b 5.058
_cell_length_c 5.058
_cell_angle_alpha 60.00
_cell_angle_beta 60.00
_cell_angle_gamma 60.00
loop_
_space_group_symop_operation_xyz
'x,y,z'
loop_
_atom_site_label
_atom_site_type_symbol
_atom_site_fract_x
_atom_site_fract_y
_atom_site_fract_z
Ac1 Ac 0.000 0.000 0.000
Pa1 Pa 0.500 0.500 0.500
Cu1 Cu 0.250 0.250 0.250
Tc1 Tc 0.750 0.750 0.750
```

***

Record 7
This record from Alexandria via LeMat-Bulk describes crystalline BaSr2Cd2 at its relaxed geometry. The functional is GGA-PBE.

Values from the calculation:
- formation energy from the elements (eV/atom) = -0.230
- energy relative to the lowest polymorph listed for this composition (meV/atom) = 21.7

Geometry as CIF:
```
data_BaSr2Cd2
_space_group_name_H-M_alt 'P 1'
_space_group_IT_number 1
_cell_length_a 12.281
_cell_length_b 12.281
_cell_length_c 4.035
_cell_angle_alpha 90.00
_cell_angle_beta 90.00
_cell_angle_gamma 160.48
loop_
_space_group_symop_operation_xyz
'x,y,z'
loop_
_atom_site_label
_atom_site_type_symbol
_atom_site_fract_x
_atom_site_fract_y
_atom_site_fract_z
Ba1 Ba 0.000 0.000 0.000
Sr1 Sr 0.174 0.826 0.000
Sr2 Sr 0.826 0.174 0.000
Cd1 Cd 0.405 0.595 0.500
Cd2 Cd 0.595 0.405 0.500
```

***

Record 8
This record from Alexandria via LeMat-Bulk describes crystalline PrHfThSc at its relaxed geometry. The functional is GGA-PBE.

Values from the calculation:
- formation energy from the elements (eV/atom) = 0.169

Geometry as CIF:
```
data_PrHfThSc
_space_group_name_H-M_alt 'P 1'
_space_group_IT_number 1
_cell_length_a 5.410
_cell_length_b 5.410
_cell_length_c 5.410
_cell_angle_alpha 60.00
_cell_angle_beta 60.00
_cell_angle_gamma 60.00
loop_
_space_group_symop_operation_xyz
'x,y,z'
loop_
_atom_site_label
_atom_site_type_symbol
_atom_site_fract_x
_atom_site_fract_y
_atom_site_fract_z
Pr1 Pr 0.000 0.000 0.000
Hf1 Hf 0.250 0.250 0.250
Th1 Th 0.500 0.500 0.500
Sc1 Sc 0.750 0.750 0.750
```

***

| no. | total DFT energy (no corrections) (eV/atom) | size of the total moment (μB per cell) | theoretical density (Mg/m³) |
| --- | --- | --- | --- |
| 1 | -2.3158 | 4.6 | 2.31 |
| 2 | -2.8388 | 0.0 | 4.39 |
| 3 | -5.5385 | 0.0 | 5.41 |
| 4 | -6.7954 | 0.0 | 7.01 |
| 5 | -8.4119 | 0.0 | 7.37 |
| 6 | -6.7818 | 0.0 | 11.25 |
| 7 | -1.6532 | 0.0 | 4.39 |
| 8 | -6.9519 | 0.0 | 8.85 |